No. 1
# CdW2Se

A relaxed structure of CdW2Se (GGA-PBE, Alexandria).

The value obtained for the distance to the lowest polymorph of the same formula is 238 meV/atom. The value obtained for the density of states at the Fermi level is 3.2 states/eV per cell. As for the total energy: -0.2581 Ha/atom. The calculation puts the volume at 74.5 Å³/f.u. Its energy relative to the elements, uncorrected is 0.55 eV per atom.

The space group is Amm2 (No. 38) and the conventional cell measures 4.591, 3.000 and 10.815 Å, with angles of 90.00, 90.00 and 90.00 degrees. The asymmetric unit holds Cd at (0.000, 0.000, 0.000), W at (0.000, 0.000, 0.743), W at (0.500, 0.000, 0.327) and Se at (0.500, 0.000, 0.640).


No. 2
# Be3AuN

A relaxed structure of Be3AuN (GGA-PBE, Alexandria).

The value obtained for the distance to the lowest polymorph of the same formula is 1728 meV/atom. The value obtained for the density of states at the Fermi level is 2.2 states/eV per cell. As for the total energy: -0.1102 Ha/atom. The calculation puts the volume at 78.4 Å³/f.u. Its energy relative to the elements, uncorrected is 1.56 eV per atom.

The space group is Pm-3m (No. 221) and the conventional cell measures 4.280, 4.280 and 4.280 Å, with angles of 90.00, 90.00 and 90.00 degrees. The asymmetric unit holds Be at (0.000, 0.000, 0.500), Au at (0.000, 0.000, 0.000) and N at (0.500, 0.500, 0.500).


No. 3
# CaHgN2O

A relaxed structure of CaHgN2O (GGA-PBE, Alexandria).

The value obtained for the density of states at the Fermi level is 3.3 states/eV per cell. As for the total energy: -0.1332 Ha/atom. The calculation puts the volume at 97.7 Å³/f.u. Its energy relative to the elements, uncorrected is 1.16 eV per atom.

The space group is P4/mmm (No. 123) and the conventional cell measures 4.722, 4.722 and 4.382 Å, with angles of 90.00, 90.00 and 90.00 degrees. The asymmetric unit holds Ca at (0.000, 0.000, 0.000), Hg at (0.500, 0.500, 0.500), N at (0.000, 0.500, 0.000) and O at (0.000, 0.000, 0.500).


No. 4
# NbCrGa

A relaxed structure of NbCrGa (GGA-PBE, Alexandria).

The value obtained for the density of states at the Fermi level is 2.9 states/eV per cell. As for the total energy: -0.2811 Ha/atom. The calculation puts the volume at 45.3 Å³/f.u.

The space group is I4mm (No. 107) and the conventional cell measures 3.250, 3.250 and 8.574 Å, with angles of 90.00, 90.00 and 90.00 degrees. The asymmetric unit holds Nb at (0.000, 0.000, 0.000), Cr at (0.000, 0.000, 0.348) and Ga at (0.000, 0.000, 0.684).


No. 5
# V2PH2

A relaxed structure of V2PH2 (GGA-PBE, Alexandria).

The value obtained for the distance to the lowest polymorph of the same formula is 147 meV/atom. The value obtained for the density of states at the Fermi level is 35.4 states/eV per cell. As for the total energy: -0.2307 Ha/atom. The calculation puts the volume at 45.3 Å³/f.u.

The space group is Fddd (No. 70, origin choice 2) and the conventional cell measures 5.562, 7.987 and 8.156 Å, with angles of 90.00, 90.00 and 90.00 degrees. The asymmetric unit holds V at (0.125, 0.321, 0.125), P at (0.125, 0.125, 0.625) and H at (0.125, 0.125, 0.006).


No. 6
# LiRh3N

A relaxed structure of LiRh3N (GGA-PBE, Alexandria).

The value obtained for the distance to the lowest polymorph of the same formula is 0 meV/atom. The value obtained for the density of states at the Fermi level is 5.0 states/eV per cell. As for the total energy: -0.2379 Ha/atom. The calculation puts the volume at 65.6 Å³/f.u. Its energy relative to the elements, uncorrected is -0.01 eV per atom.

The space group is Pm-3m (No. 221) and the conventional cell measures 4.033, 4.033 and 4.033 Å, with angles of 90.00, 90.00 and 90.00 degrees. The asymmetric unit holds Li at (0.000, 0.000, 0.000), Rh at (0.000, 0.500, 0.500) and N at (0.500, 0.500, 0.500).